Compound: La4PmNd7
Source: Alexandria
Functional: PBE
Structure: relaxed

Results
* formation energy from the elements: 0.2131 eV/atom
* energy relative to the lowest polymorph listed for this composition: 197 meV/atom
* VASP energy: -0.3386 Ry/atom
* symmetry: C2/m

Cell lengths 6.883, 6.883, 13.164 Å; angles 114.31, 114.31, 53.30 degrees
Fractional coordinates of all 12 atoms:
La: 0.059 0.059 0.328
La: 0.361 0.361 0.223
La: 0.639 0.639 0.777
La: 0.941 0.941 0.672
Pm: 0.500 0.500 0.000
Nd: 0.000 0.000 0.000
Nd: 0.211 0.211 0.922
Nd: 0.249 0.249 0.682
Nd: 0.367 0.367 0.498
Nd: 0.633 0.633 0.502
Nd: 0.751 0.751 0.318
Nd: 0.789 0.789 0.078

---

Compound: La2TaIn
Source: Alexandria
Functional: PBE
Structure: relaxed

Results
* formation energy from the elements: 0.3414 eV/atom
* VASP energy: -0.4241 Ry/atom
* symmetry: C2/m

Cell lengths 6.561, 6.561, 5.454 Å; angles 112.35, 112.35, 29.25 degrees
Fractional coordinates of all 4 atoms:
La: 0.227 0.227 0.240
La: 0.773 0.773 0.760
Ta: 0.500 0.500 0.000
In: 0.000 0.000 0.500

---

Compound: EuBeNi
Source: Alexandria
Functional: PBE
Structure: relaxed

Results
* formation energy from the elements: -0.0577 eV/atom
* VASP energy: -0.4889 Ry/atom
* symmetry: P-6m2

Cell lengths 3.866, 3.866, 4.226 Å; angles 90.00, 90.00, 120.00 degrees
Fractional coordinates of all 3 atoms:
Eu: 0.000 0.000 0.000
Be: 0.667 0.333 0.500
Ni: 0.333 0.667 0.500

---

Compound: SmDyRh
Source: Alexandria
Functional: PBE
Structure: relaxed

Results
* formation energy from the elements: -0.5360 eV/atom
* energy relative to the lowest polymorph listed for this composition: 4 meV/atom
* VASP energy: -0.4479 Ry/atom
* symmetry: F-43m

Cell lengths 4.854, 4.854, 4.854 Å; angles 60.00, 60.00, 60.00 degrees
Fractional coordinates of all 3 atoms:
Sm: 0.000 0.000 0.000
Dy: 0.500 0.500 0.500
Rh: 0.750 0.750 0.750

---

Compound: ZnCrCu2Ag
Source: Alexandria
Functional: PBE
Structure: relaxed

Results
* formation energy from the elements: 0.8382 eV/atom
* VASP energy: -0.2609 Ry/atom
* symmetry: P4/mmm

Cell lengths 4.459, 4.459, 4.728 Å; angles 90.00, 90.00, 90.00 degrees
Fractional coordinates of all 5 atoms:
Zn: 0.000 0.000 0.000
Cr: 0.000 0.000 0.500
Cu: 0.000 0.500 0.000
Cu: 0.500 0.000 0.000
Ag: 0.500 0.500 0.500

---

Compound: Dy3Ho4ScS8
Source: Alexandria
Functional: PBE
Structure: relaxed

Results
* VASP energy: -0.4721 Ry/atom
* raw formation energy: -1.956 eV per atom
* symmetry: R-3m

Cell lengths 7.743, 7.743, 7.743 Å; angles 60.02, 60.02, 60.02 degrees
Fractional coordinates of all 16 atoms:
Dy: 0.000 0.500 0.500
Dy: 0.500 0.000 0.500
Dy: 0.500 0.500 0.000
Ho: 0.000 0.000 0.500
Ho: 0.000 0.500 0.000
Ho: 0.500 0.000 0.000
Ho: 0.500 0.500 0.500
Sc: 0.000 0.000 0.000
S: 0.244 0.755 0.755
S: 0.245 0.245 0.756
S: 0.245 0.756 0.245
S: 0.249 0.249 0.249
S: 0.751 0.751 0.751
S: 0.755 0.244 0.755
S: 0.755 0.755 0.244
S: 0.756 0.245 0.245

---

What is the formula in the third record?
EuBeNi